Mn2PPdF | PBE with a Hubbard U | relaxed

a b c (Å): 5.031 5.031 3.969
angles (deg): 90.00 90.00 90.00
Fractional positions:
Mn  0.000  0.500  0.000
Mn  0.500  0.000  0.000
P  0.000  0.000  0.500
Pd  0.500  0.500  0.000
F  0.500  0.500  0.500

Computed properties:
* final energy: -5.39 eV/atom
* space-group type: P4/mmm, No. 123
* magnetization: 1.983 μB per atom
* N(E_F): 0.150 states/eV per atom
* crystal system: tetragonal